# PBE ScHg2Os, relaxed
# Relative energy among the computed polymorphs ... 160 meV per atom
# Mass density ... 14033 kg/m³
# Energy relative to the elements ... 0.249 eV per atom
data_ScHg2Os
_cell_length_a 4.740
_cell_length_b 4.740
_cell_length_c 4.740
_cell_angle_alpha 60.00
_cell_angle_beta 60.00
_cell_angle_gamma 60.00
_space_group_name_H-M_alt 'P 1'
_space_group_IT_number 1
loop_
_space_group_symop_operation_xyz
'x,y,z'
loop_
_atom_site_label
_atom_site_fract_x
_atom_site_fract_y
_atom_site_fract_z
_atom_site_occupancy
Sc1 0.000 0.000 0.000 1
Hg1 0.250 0.250 0.250 1
Hg2 0.750 0.750 0.750 1
Os1 0.500 0.500 0.500 1